Entry from the Alexandria database: a relaxed structure of PrAl4CuAu2 (PBE).

Its total magnetization is 0.0 μB/cell. For the total energy, the calculation gives -33.85 eV per formula unit. For the formation energy, the calculation gives -0.432 eV/atom. For the density of states at the Fermi level, the calculation gives 6.931 states/eV/cell.

The space group is R-3m (No. 166, hexagonal axes) and the conventional cell measures 4.3534, 4.3534 and 26.9350 Å, with angles of 90.00, 90.00 and 120.00 degrees. The distinct sites, in fractional coordinates, are Pr at (0.0000, 0.0000, 0.0000), Al at (0.0000, 0.0000, 0.1313), Al at (0.0000, 0.0000, 0.4038), Cu at (0.0000, 0.0000, 0.5000) and Au at (0.0000, 0.0000, 0.2379).

---

Entry from the Alexandria database: a relaxed structure of Ac2In3Ga2 (PBE).

Its total magnetization is 0.0 μB/cell. For the total energy, the calculation gives -25.76 eV per formula unit. For the formation energy, the calculation gives -0.468 eV/atom. For the density of states at the Fermi level, the calculation gives 5.678 states/eV/cell. Its polymorph energy (0 for the lowest one) is 0.0 meV/atom.

The space group is C2/m (No. 12) and the conventional cell measures 11.871, 4.710 and 7.416 Å, with angles of 90.00, 110.12 and 90.00 degrees. The distinct sites, in fractional coordinates, are Ac at (0.138, 0.000, 0.276), In at (0.000, 0.500, 0.500), In at (0.167, 0.000, 0.784) and Ga at (0.086, 0.500, 0.927).

---

What did the first record say?
Entry from the Alexandria database: a relaxed structure of PrAl4CuAu2 (PBE).

Its total magnetization is 0.0 μB/cell. For the total energy, the calculation gives -33.85 eV per formula unit. For the formation energy, the calculation gives -0.432 eV/atom. For the density of states at the Fermi level, the calculation gives 6.931 states/eV/cell.

The space group is R-3m (No. 166, hexagonal axes) and the conventional cell measures 4.3534, 4.3534 and 26.9350 Å, with angles of 90.00, 90.00 and 120.00 degrees. The distinct sites, in fractional coordinates, are Pr at (0.0000, 0.0000, 0.0000), Al at (0.0000, 0.0000, 0.1313), Al at (0.0000, 0.0000, 0.4038), Cu at (0.0000, 0.0000, 0.5000) and Au at (0.0000, 0.0000, 0.2379).

---

Repeat the second record exactly.
Entry from the Alexandria database: a relaxed structure of Ac2In3Ga2 (PBE).

Its total magnetization is 0.0 μB/cell. For the total energy, the calculation gives -25.76 eV per formula unit. For the formation energy, the calculation gives -0.468 eV/atom. For the density of states at the Fermi level, the calculation gives 5.678 states/eV/cell. Its polymorph energy (0 for the lowest one) is 0.0 meV/atom.

The space group is C2/m (No. 12) and the conventional cell measures 11.871, 4.710 and 7.416 Å, with angles of 90.00, 110.12 and 90.00 degrees. The distinct sites, in fractional coordinates, are Ac at (0.138, 0.000, 0.276), In at (0.000, 0.500, 0.500), In at (0.167, 0.000, 0.784) and Ga at (0.086, 0.500, 0.927).

---

Number 2 is which compound?
Ac2In3Ga2

---

What is the formula in the second record?
Ac2In3Ga2